(1)
# ScPa2Tc, optimized geometry, DFT GGA-PBE
# total DFT energy (no corrections) = -8.857 eV/atom
# polymorph energy (0 for the lowest one) = 0.000 eV/atom
# energy relative to the elements = 65 meV per atom
# calculated volume = 92 Å³ per cell
data_ScPa2Tc
_symmetry_space_group_name_H-M 'P 4/m m m'
_symmetry_Int_Tables_number 123
_symmetry_space_group_name_Hall '-P 4 2'
_cell_length_a 3.601
_cell_length_b 3.601
_cell_length_c 7.076
_cell_angle_alpha 90.00
_cell_angle_beta 90.00
_cell_angle_gamma 90.00
loop_
_atom_site_label
_atom_site_type_symbol
_atom_site_fract_x
_atom_site_fract_y
_atom_site_fract_z
Sc1 Sc 0.000 0.000 0.000
Pa1 Pa 0.500 0.500 0.296
Tc1 Tc 0.000 0.000 0.500

=====

(2)
# TmScPa2Tc4, optimized geometry, DFT GGA-PBE
# total DFT energy (no corrections) = -9.194 eV/atom
# energy relative to the elements = -287 meV per atom
# calculated volume = 462 Å³ per cell
data_TmScPa2Tc4
_symmetry_space_group_name_H-M 'R -3 m'
_symmetry_Int_Tables_number 166
_symmetry_space_group_name_Hall '-R 3 2"'
_cell_length_a 4.6160
_cell_length_b 4.6160
_cell_length_c 25.0565
_cell_angle_alpha 90.00
_cell_angle_beta 90.00
_cell_angle_gamma 120.00
loop_
_atom_site_label
_atom_site_type_symbol
_atom_site_fract_x
_atom_site_fract_y
_atom_site_fract_z
Tm1 Tm 0.0000 0.0000 0.0000
Sc1 Sc 0.0000 0.0000 0.5000
Pa1 Pa 0.0000 0.0000 0.2479
Tc1 Tc 0.0000 0.0000 0.1267
Tc2 Tc 0.0000 0.0000 0.3862

=====

(3)
# ZrScPaTc, optimized geometry, DFT GGA-PBE
# total DFT energy (no corrections) = -8.752 eV/atom
# energy relative to the elements = -67 meV per atom
# calculated volume = 326 Å³ per cell
data_ZrScPaTc
_symmetry_space_group_name_H-M 'F -4 3 m'
_symmetry_Int_Tables_number 216
_symmetry_space_group_name_Hall 'F -4 2 3'
_cell_length_a 6.881
_cell_length_b 6.881
_cell_length_c 6.881
_cell_angle_alpha 90.00
_cell_angle_beta 90.00
_cell_angle_gamma 90.00
loop_
_atom_site_label
_atom_site_type_symbol
_atom_site_fract_x
_atom_site_fract_y
_atom_site_fract_z
Zr1 Zr 0.000 0.000 0.000
Sc1 Sc 0.250 0.250 0.250
Pa1 Pa 0.250 0.250 0.750
Tc1 Tc 0.000 0.000 0.500

=====

(4)
# ScPaTe, optimized geometry, DFT GGA-PBE
# total DFT energy (no corrections) = -6.593 eV/atom
# energy relative to the elements, uncorrected = -0.27 eV per atom
# calculated volume = 76 Å³ per cell
data_ScPaTe
_symmetry_space_group_name_H-M 'P -6 m 2'
_symmetry_Int_Tables_number 187
_symmetry_space_group_name_Hall 'P -6 2'
_cell_length_a 4.9260
_cell_length_b 4.9260
_cell_length_c 3.6005
_cell_angle_alpha 90.00
_cell_angle_beta 90.00
_cell_angle_gamma 120.00
loop_
_atom_site_label
_atom_site_type_symbol
_atom_site_fract_x
_atom_site_fract_y
_atom_site_fract_z
Sc1 Sc 0.0000 0.0000 0.0000
Pa1 Pa 0.3333 0.6667 0.5000
Te1 Te 0.6667 0.3333 0.0000

=====

(5)
# ScPaTe3, optimized geometry, DFT GGA-PBE
# total DFT energy (no corrections) = -6.002 eV/atom
# energy relative to the elements, uncorrected = -0.95 eV per atom
# calculated volume = 330 Å³ per cell
data_ScPaTe3
_symmetry_space_group_name_H-M 'P 1 21/m 1'
_symmetry_Int_Tables_number 11
_symmetry_space_group_name_Hall '-P 2yb'
_cell_length_a 7.371
_cell_length_b 4.188
_cell_length_c 10.983
_cell_angle_alpha 90.00
_cell_angle_beta 103.51
_cell_angle_gamma 90.00
loop_
_atom_site_label
_atom_site_type_symbol
_atom_site_fract_x
_atom_site_fract_y
_atom_site_fract_z
Sc1 Sc 0.233 0.250 0.000
Pa1 Pa 0.363 0.250 0.340
Te1 Te 0.032 0.750 0.838
Te2 Te 0.235 0.750 0.504
Te3 Te 0.475 0.750 0.155

=====

(6)
# Sc3PaTe6, optimized geometry, DFT GGA-PBE
# total DFT energy (no corrections) = -5.822 eV/atom
# energy relative to the elements, uncorrected = -1.09 eV per atom
# calculated volume = 584 Å³ per cell
data_Sc3PaTe6
_symmetry_space_group_name_H-M 'P 1 21/m 1'
_symmetry_Int_Tables_number 11
_symmetry_space_group_name_Hall '-P 2yb'
_cell_length_a 12.015
_cell_length_b 4.161
_cell_length_c 12.318
_cell_angle_alpha 90.00
_cell_angle_beta 108.63
_cell_angle_gamma 90.00
loop_
_atom_site_label
_atom_site_type_symbol
_atom_site_fract_x
_atom_site_fract_y
_atom_site_fract_z
Sc1 Sc 0.065 0.250 0.158
Sc2 Sc 0.179 0.750 0.504
Sc3 Sc 0.349 0.250 0.920
Pa1 Pa 0.451 0.250 0.297
Te1 Te 0.019 0.250 0.380
Te2 Te 0.110 0.250 0.936
Te3 Te 0.238 0.750 0.277
Te4 Te 0.301 0.750 0.750
Te5 Te 0.381 0.250 0.532
Te6 Te 0.413 0.750 0.094

=====

(7)
# ScPa2Te4, optimized geometry, DFT GGA-PBE
# total DFT energy (no corrections) = -6.300 eV/atom
# polymorph energy (0 for the lowest one) = 0.000 eV/atom
# energy relative to the elements, uncorrected = -0.89 eV per atom
# calculated volume = 429 Å³ per cell
data_ScPa2Te4
_symmetry_space_group_name_H-M 'C 1 2/m 1'
_symmetry_Int_Tables_number 12
_symmetry_space_group_name_Hall '-C 2y'
_cell_length_a 16.475
_cell_length_b 4.066
_cell_length_c 7.050
_cell_angle_alpha 90.00
_cell_angle_beta 114.59
_cell_angle_gamma 90.00
loop_
_atom_site_label
_atom_site_type_symbol
_atom_site_fract_x
_atom_site_fract_y
_atom_site_fract_z
Sc1 Sc 0.000 0.000 0.000
Pa1 Pa 0.249 0.000 0.244
Te1 Te 0.113 0.500 0.288
Te2 Te 0.114 0.000 0.777

=====

(8)
# Sc2Pa2Te7, optimized geometry, DFT GGA-PBE
# total DFT energy (no corrections) = -5.628 eV/atom
# energy relative to the elements, uncorrected = -0.75 eV per atom
# calculated volume = 861 Å³ per cell
data_Sc2Pa2Te7
_symmetry_space_group_name_H-M 'C 1 2/m 1'
_symmetry_Int_Tables_number 12
_symmetry_space_group_name_Hall '-C 2y'
_cell_length_a 8.536
_cell_length_b 13.088
_cell_length_c 7.749
_cell_angle_alpha 90.00
_cell_angle_beta 96.15
_cell_angle_gamma 90.00
loop_
_atom_site_label
_atom_site_type_symbol
_atom_site_fract_x
_atom_site_fract_y
_atom_site_fract_z
Sc1 Sc 0.000 0.182 0.000
Pa1 Pa 0.189 0.000 0.618
Te1 Te 0.000 0.500 0.500
Te2 Te 0.118 0.000 0.211
Te3 Te 0.241 0.297 0.222

=====

(9)
# ScPa2Te5, optimized geometry, DFT GGA-PBE
# total DFT energy (no corrections) = -5.356 eV/atom
# energy relative to the elements, uncorrected = -0.23 eV per atom
# calculated volume = 268 Å³ per cell
data_ScPa2Te5
_symmetry_space_group_name_H-M 'P 4/m m m'
_symmetry_Int_Tables_number 123
_symmetry_space_group_name_Hall '-P 4 2'
_cell_length_a 7.361
_cell_length_b 7.361
_cell_length_c 4.943
_cell_angle_alpha 90.00
_cell_angle_beta 90.00
_cell_angle_gamma 90.00
loop_
_atom_site_label
_atom_site_type_symbol
_atom_site_fract_x
_atom_site_fract_y
_atom_site_fract_z
Sc1 Sc 0.000 0.000 0.000
Pa1 Pa 0.000 0.500 0.500
Te1 Te 0.000 0.000 0.500
Te2 Te 0.274 0.274 0.000

=====

(10)
# ScPa2Te6, optimized geometry, DFT GGA-PBE
# total DFT energy (no corrections) = -5.709 eV/atom
# energy relative to the elements, uncorrected = -0.80 eV per atom
# calculated volume = 671 Å³ per cell
data_ScPa2Te6
_symmetry_space_group_name_H-M 'P 42/m n m'
_symmetry_Int_Tables_number 136
_symmetry_space_group_name_Hall '-P 4n 2n'
_cell_length_a 7.201
_cell_length_b 7.201
_cell_length_c 12.938
_cell_angle_alpha 90.00
_cell_angle_beta 90.00
_cell_angle_gamma 90.00
loop_
_atom_site_label
_atom_site_type_symbol
_atom_site_fract_x
_atom_site_fract_y
_atom_site_fract_z
Sc1 Sc 0.000 0.000 0.000
Pa1 Pa 0.000 0.000 0.334
Te1 Te 0.200 0.200 0.162
Te2 Te 0.207 0.207 0.500

=====

(11)
# ScPa2Te4, optimized geometry, DFT GGA-PBE
# total DFT energy (no corrections) = -6.202 eV/atom
# polymorph energy (0 for the lowest one) = 0.097 eV/atom
# energy relative to the elements, uncorrected = -0.79 eV per atom
# calculated volume = 1836 Å³ per cell
data_ScPa2Te4
_symmetry_space_group_name_H-M 'F d d 2'
_symmetry_Int_Tables_number 43
_symmetry_space_group_name_Hall 'F 2 -2d'
_cell_length_a 14.506
_cell_length_b 15.279
_cell_length_c 8.284
_cell_angle_alpha 90.00
_cell_angle_beta 90.00
_cell_angle_gamma 90.00
loop_
_atom_site_label
_atom_site_type_symbol
_atom_site_fract_x
_atom_site_fract_y
_atom_site_fract_z
Sc1 Sc 0.000 0.000 0.000
Pa1 Pa 0.001 0.247 0.747
Te1 Te 0.116 0.078 0.746
Te2 Te 0.122 0.089 0.249

=====

(12)
# ScPa3Tl3Te8, optimized geometry, DFT GGA-PBE
# total DFT energy (no corrections) = -5.200 eV/atom
# energy relative to the elements, uncorrected = -0.73 eV per atom
# calculated volume = 1629 Å³ per cell
data_ScPa3Tl3Te8
_symmetry_space_group_name_H-M 'R -3 m'
_symmetry_Int_Tables_number 166
_symmetry_space_group_name_Hall '-R 3 2"'
_cell_length_a 8.5680
_cell_length_b 8.5680
_cell_length_c 25.6323
_cell_angle_alpha 90.00
_cell_angle_beta 90.00
_cell_angle_gamma 120.00
loop_
_atom_site_label
_atom_site_type_symbol
_atom_site_fract_x
_atom_site_fract_y
_atom_site_fract_z
Sc1 Sc 0.0000 0.0000 0.0000
Pa1 Pa 0.0000 0.5000 0.0000
Tl1 Tl 0.0000 0.5000 0.5000
Te1 Te 0.0000 0.0000 0.2595
Te2 Te 0.0110 0.5055 0.7368

=====

| no. | ρ (Mg/m³) |
| --- | --- |
| 1 | 10.95 |
| 2 | 11.51 |
| 3 | 9.49 |
| 4 | 8.86 |
| 5 | 6.64 |
| 6 | 6.44 |
| 7 | 7.87 |
| 8 | 5.58 |
| 9 | 7.10 |
| 10 | 6.30 |
| 11 | 7.36 |
| 12 | 7.25 |